[1]
VASP calculation (PBE) on a relaxed structure of ZrP2HO.

Calculated values
Excess energy over the best structure of this formula in the dataset in eV per atom: 0.782
Space group: P4/mmm
Total moment in Bohr magnetons per cell: 2.53
Raw total energy in eV/f.u.: -26.38

Cell: 5.237 5.237 4.056 Å, 90.00 90.00 90.00°
Each line ends with the local moment (μB).
Sites, in units of the cell vectors:
P 0.000 0.500 0.000  0.33
P 0.500 0.000 0.000  0.33
Zr 0.000 0.000 0.000  0.03
H 0.500 0.500 0.500  0.32
O 0.000 0.000 0.500  0.20

[2]
VASP calculation (PBE) on a relaxed structure of ZrAgPO2.

Calculated values
Raw formation energy in meV/atom: -1127.0
Excess energy over the best structure of this formula in the dataset in eV per atom: 0.000
Space group: P4/mmm
Total moment in Bohr magnetons per cell: 0.35
Raw total energy in eV/f.u.: -32.36

Cell: 4.025 4.025 5.735 Å, 90.00 90.00 90.00°
Each line ends with the local moment (μB).
Sites, in units of the cell vectors:
P 0.000 0.000 0.500  0.02
O 0.500 0.000 0.000  0.14
O 0.000 0.500 0.000  0.14
Zr 0.000 0.000 0.000  -0.03
Ag 0.500 0.500 0.500  0.00

[3]
VASP calculation (PBE) on a relaxed structure of PrGdSn2.

Calculated values
Space group: R-3m
Formation energy from the elements in meV/atom: -538
Total moment in Bohr magnetons per cell: 7.09
Raw total energy in eV/f.u.: -29.02

Cell: 4.111 4.111 8.957 Å, 76.73 76.73 60.00°
Each line ends with the local moment (μB).
Sites, in units of the cell vectors:
Sn 0.748 0.748 0.756  -0.01
Sn 0.252 0.252 0.244  -0.01
Pr 0.500 0.500 0.500  -0.02
Gd 0.000 0.000 0.000  7.03

[4]
VASP calculation (PBE) on a relaxed structure of Eu2TeO.

Calculated values
Raw formation energy in meV/atom: -1995.8
Excess energy over the best structure of this formula in the dataset in eV per atom: 0.000
Space group: R-3m
Total moment in Bohr magnetons per cell: 14.00
Raw total energy in eV/f.u.: -36.63

Cell: 4.021 4.021 7.342 Å, 74.11 74.11 60.00°
Each line ends with the local moment (μB).
Sites, in units of the cell vectors:
O 0.500 0.500 0.500  -0.10
Te 0.000 0.000 0.000  -0.09
Eu 0.230 0.230 0.309  6.85
Eu 0.770 0.770 0.691  6.85

[5]
VASP calculation (PBE) on a relaxed structure of Mo2HIrRu.

Calculated values
Excess energy over the best structure of this formula in the dataset in eV per atom: 0.052
Space group: P4/mmm
Total moment in Bohr magnetons per cell: 0.00
Raw total energy in eV/f.u.: -43.43

Cell: 3.986 3.986 3.899 Å, 90.00 90.00 90.00°
Sites, in units of the cell vectors:
H 0.000 0.000 0.000
Mo 0.500 0.000 0.000
Mo 0.000 0.500 0.000
Ir 0.000 0.000 0.500
Ru 0.500 0.500 0.500

[6]
VASP calculation (PBE) on a relaxed structure of CdSeI.

Calculated values
Raw formation energy in meV/atom: -461.1
Excess energy over the best structure of this formula in the dataset in eV per atom: 0.000
Space group: P-1
Total moment in Bohr magnetons per cell: 0.00
Raw total energy in eV/f.u.: -7.33

Cell: 4.321 6.950 7.717 Å, 101.73 90.04 108.03°
Sites, in units of the cell vectors:
I 0.156 0.308 0.156
I 0.844 0.692 0.844
Cd 0.943 0.886 0.212
Cd 0.057 0.114 0.788
Se 0.586 0.173 0.595
Se 0.414 0.827 0.405

[7]
VASP calculation (PBE) on a relaxed structure of PaBi3.

Calculated values
Excess energy over the best structure of this formula in the dataset in eV per atom: 0.000
Space group: I4/mmm
Formation energy from the elements in meV/atom: -116
Total moment in Bohr magnetons per cell: 0.00
Raw total energy in eV/f.u.: -21.60

Cell: 6.399 6.399 6.399 Å, 137.69 137.69 61.37°
Sites, in units of the cell vectors:
Pa 0.000 0.000 0.000
Bi 0.750 0.250 0.500
Bi 0.250 0.750 0.500
Bi 0.500 0.500 0.000

[8]
VASP calculation (PBE) on a relaxed structure of Ga3TcAs.

Calculated values
Excess energy over the best structure of this formula in the dataset in eV per atom: 0.585
Space group: Pm-3m
Formation energy from the elements in meV/atom: 1073
Total moment in Bohr magnetons per cell: 3.36
Raw total energy in eV/f.u.: -18.73

Cell: 4.900 4.900 4.900 Å, 90.00 90.00 90.00°
Each line ends with the local moment (μB).
Sites, in units of the cell vectors:
Ga 0.000 0.500 0.000  -0.04
Ga 0.500 0.000 0.000  -0.04
Ga 0.000 0.000 0.500  -0.01
As 0.000 0.000 0.000  0.03
Tc 0.500 0.500 0.500  3.12